1.
The following is a PBE calculation of a relaxed PmSc4Ni5 crystal, from Alexandria.

Structure (POSCAR):
```
PmSc4Ni5
1.0
3.202 0.000 0.000
0.000 3.202 0.000
0.000 0.000 16.383
Pm Sc Ni
1 4 5
direct
0.000 0.000 0.000
0.000 0.000 0.211
0.000 0.000 0.404
0.000 0.000 0.596
0.000 0.000 0.789
0.500 0.500 0.123
0.500 0.500 0.309
0.500 0.500 0.500
0.500 0.500 0.691
0.500 0.500 0.877
```

Output
* formation energy: -42.4 kJ/mol of atoms
* space group: No. 123
* magnetization: 0.000 Bohr magnetons per cell

2.
The following is a PBE calculation of a relaxed Pm2Sc3Ni2 crystal, from Alexandria.

Structure (POSCAR):
```
Pm2Sc3Ni2
1.0
3.334 0.000 0.937
1.216 5.685 2.074
-0.487 -0.233 8.134
Pm Sc Ni
2 3 2
direct
0.158 0.487 0.197
0.842 0.513 0.803
0.500 0.000 0.000
0.380 0.808 0.432
0.620 0.192 0.568
0.164 0.912 0.761
0.836 0.088 0.239
```

Output
* formation energy: -24.0 kJ/mol of atoms
* space group: No. 12
* magnetization: 0.000 Bohr magnetons per cell

3.
The following is a PBE calculation of a relaxed Pm2ScNi crystal, from Alexandria.

Structure (POSCAR):
```
Pm2ScNi
1.0
3.557 0.000 0.000
1.778 3.080 0.000
1.778 1.027 10.214
Sc Ni Pm
1 1 2
direct
0.000 0.000 0.000
0.500 0.500 0.500
0.107 0.107 0.679
0.893 0.893 0.321
```

Output
* formation energy: 19.3 kJ/mol of atoms
* space group: No. 166
* magnetization: 0.001 Bohr magnetons per cell

4.
The following is a PBE calculation of a relaxed PmScSi2Ni2 crystal, from Alexandria.

Structure (POSCAR):
```
PmScSi2Ni2
1.0
-0.575 -3.114 2.657
-0.379 -0.654 -4.064
6.704 -1.558 -0.374
Pm Sc Si Ni
1 1 2 2
direct
0.000 0.000 0.000
0.000 0.000 0.500
0.667 0.333 0.709
0.333 0.667 0.291
0.667 0.333 0.314
0.333 0.667 0.686
```

Output
* total energy: -6.406 eV/atom
* space group: No. 164
* magnetization: 0.000 Bohr magnetons per cell